The following is a DFT calculation (PBEsol) of a relaxed structure of Sc2AlFe.

DFT formation energy   -325 meV/atom

Lattice parameters (Å, degrees): 3.1585 3.1585 6.7019 90.00 90.00 90.00
Fractional coordinates of all 4 atoms:
Al1 0.5000 0.5000 0.5000
Sc1 0.0000 0.0000 0.7833
Sc2 0.0000 0.0000 0.2167
Fe1 0.5000 0.5000 0.0000


The following is a DFT calculation (PBEsol) of a relaxed structure of LaZn4Rh.

DFT formation energy   -360 meV/atom

Lattice parameters (Å, degrees): 5.1732 5.1732 5.1732 60.00 60.00 60.00
Fractional coordinates of all 6 atoms:
Zn1 0.3728 0.3728 0.3728
Zn2 0.8815 0.3728 0.3728
Zn3 0.3728 0.8815 0.3728
Zn4 0.3728 0.3728 0.8815
Rh1 0.0000 0.0000 0.0000
La1 0.7500 0.7500 0.7500


The following is a DFT calculation (PBEsol) of a relaxed structure of Rb3SmF6.

Uncorrected formation energy   -3.22 eV/atom

Lattice parameters (Å, degrees): 6.8252 6.8252 6.8252 60.00 60.00 60.00
Fractional coordinates of all 10 atoms:
Rb1 0.7500 0.7500 0.7500
Rb2 0.5000 0.5000 0.5000
Rb3 0.2500 0.2500 0.2500
F1 0.2294 0.7706 0.2294
F2 0.7706 0.7706 0.2294
F3 0.2294 0.7706 0.7706
F4 0.2294 0.2294 0.7706
F5 0.7706 0.2294 0.7706
F6 0.7706 0.2294 0.2294
Sm1 0.0000 0.0000 0.0000


The following is a DFT calculation (PBEsol) of a relaxed structure of RbLiHg3.

DFT formation energy   -171 meV/atom

Lattice parameters (Å, degrees): 5.2027 5.2027 5.2027 90.00 90.00 90.00
Fractional coordinates of all 5 atoms:
Li1 0.0000 0.0000 0.0000
Hg1 0.0000 0.0000 0.5000
Hg2 0.0000 0.5000 0.0000
Hg3 0.5000 0.0000 0.0000
Rb1 0.5000 0.5000 0.5000


The following is a DFT calculation (PBEsol) of a relaxed structure of Y12Al7Si.

Uncorrected formation energy   -0.41 eV/atom

Lattice parameters (Å, degrees): 11.1150 11.1150 11.1150 85.31 62.67 117.33
Fractional coordinates of all 40 atoms:
Al1 0.8562 0.9745 0.5255
Al2 0.0000 0.0000 0.0000
Al3 0.2631 0.3816 0.1184
Al4 0.5000 0.5255 0.6183
Al5 0.0000 0.5000 0.5000
Al6 0.5000 0.8816 0.3816
Al7 0.5000 0.4745 0.3817
Al8 0.1438 0.6183 0.8817
Al9 0.5000 0.1184 0.6184
Al10 0.1438 0.0255 0.4745
Al11 0.5000 0.8817 0.9745
Al12 0.5000 0.1183 0.0255
Al13 0.8562 0.3817 0.1183
Al14 0.7369 0.6184 0.8816
Y1 0.5000 0.6714 0.1714
Y2 0.7362 0.7993 0.3369
Y3 0.8638 0.4270 0.8369
Y4 0.1362 0.2993 0.4369
Y5 0.2638 0.9270 0.9369
Y6 0.7362 0.4369 0.4270
Y7 0.5000 0.3520 0.1480
Y8 0.2638 0.5631 0.5730
Y9 0.2638 0.8369 0.2993
Y10 0.1572 0.8286 0.6714
Y11 0.8638 0.9369 0.7993
Y12 0.1362 0.3369 0.9270
Y13 0.8428 0.1714 0.3286
Y14 0.7362 0.1631 0.7007
Y15 0.5000 0.6480 0.8520
Y16 0.1362 0.0631 0.2007
Y17 0.7362 0.0730 0.0631
Y18 0.8638 0.6631 0.0730
Y19 0.1362 0.5730 0.1631
Y20 0.2638 0.2007 0.6631
Y21 0.8638 0.7007 0.5631
Y22 0.5000 0.1480 0.3520
Y23 0.5000 0.3286 0.8286
Y24 0.5000 0.8520 0.6480
Si1 0.0000 0.2500 0.7500
Si2 0.0000 0.7500 0.2500


The following is a DFT calculation (PBEsol) of a relaxed structure of ReSb2Te.

Uncorrected formation energy   0.45 eV/atom

Lattice parameters (Å, degrees): 3.2409 4.7309 6.7103 110.64 103.97 90.00
Fractional coordinates of all 4 atoms:
Te1 0.0000 0.5000 0.0000
Sb1 0.1841 0.1841 0.3682
Sb2 0.8159 0.8159 0.6318
Re1 0.5000 0.0000 0.0000


The following is a DFT calculation (PBEsol) of a relaxed structure of ZrTe2Br.

Uncorrected formation energy   -0.73 eV/atom

Lattice parameters (Å, degrees): 3.7330 5.4833 7.1809 113.19 90.00 109.90
Fractional coordinates of all 4 atoms:
Zr1 0.4760 0.9520 0.6056
Te1 0.0032 0.0065 0.9235
Te2 0.1990 0.3981 0.6541
Br1 0.8217 0.6434 0.3168


The following is a DFT calculation (PBEsol) of a relaxed structure of MnHg2Te.

Uncorrected formation energy   0.32 eV/atom

Lattice parameters (Å, degrees): 3.1206 3.1206 9.0217 90.00 90.00 91.23
Each line ends with the local moment (μB).
Fractional coordinates of all 4 atoms:
Hg1 0.0000 0.0000 0.2997  0.03
Hg2 0.0000 0.0000 0.7003  0.03
Mn1 0.5000 0.5000 0.5000  3.71
Te1 0.5000 0.5000 0.0000  0.05